# 1
First-principles (PBE) data for a relaxed ZrScCuRu crystal, as listed in the Alexandria database.

Computed properties:
Symmetry: F-43m
N(E_F): 3.28 states/eV per cell
Energy above the most stable polymorph in this dataset: 0.16 kcal/mol of atoms

a b c (Å): 4.612 4.612 4.612
angles (deg): 60.00 60.00 60.00
Element x y z (fractional)
Cu 0.000 0.000 0.000
Sc 0.250 0.250 0.250
Zr 0.750 0.750 0.750
Ru 0.500 0.500 0.500

# 2
First-principles (PBE) data for a relaxed PrLuBeAl crystal, as listed in the Alexandria database.

Computed properties:
Symmetry: F-43m
N(E_F): 3.16 states/eV per cell

a b c (Å): 5.039 5.039 5.039
angles (deg): 60.00 60.00 60.00
Element x y z (fractional)
Al 0.500 0.500 0.500
Lu 0.250 0.250 0.250
Pr 0.750 0.750 0.750
Be 0.000 0.000 0.000

What did we get for formation enthalpy at 0 K? Answer: -0.41 -0.07 eV per atom, in the order shown.